# Ca3Fe5F12 GGA+U optimized geometry
# electronic total energy = -5.2338 eV per atom
# total magnetization = 137.46 μB/cell
# crystal system = cubic
data_Ca3Fe5F12
_cell_length_a 13.1837
_cell_length_b 13.1837
_cell_length_c 13.1837
_cell_angle_alpha 90.00
_cell_angle_beta 90.00
_cell_angle_gamma 90.00
_space_group_name_H-M_alt 'I a -3 d'
_space_group_IT_number 230
_space_group_name_Hall '-I 4bd 2c 3'
loop_
_atom_site_label
_atom_site_type_symbol
_atom_site_fract_x
_atom_site_fract_y
_atom_site_fract_z
_atom_site_occupancy
Ca1 Ca 0.0000 0.2500 0.1250 1
Fe1 Fe 0.0000 0.0000 0.0000 1
Fe2 Fe 0.0000 0.2500 0.3750 1
F1 F 0.0180 0.0671 0.6469 1